No. 1
{
  "formula": "NbFeBi2",
  "functional": "PBE-GGA",
  "state": "relaxed",
  "polymorph_energy_mev_per_atom": 0,
  "space_group": "Fm-3m",
  "lattice": [[0.0000, 3.4369, 3.4369], [3.4369, 0.0000, 3.4369], [3.4369, 3.4369, 0.0000]],
  "species": ["Bi", "Bi", "Nb", "Fe"],
  "fractional_positions": [[0.7500, 0.7500, 0.7500], [0.2500, 0.2500, 0.2500], [0.5000, 0.5000, 0.5000], [0.0000, 0.0000, 0.0000]]
}

---

No. 2
{
  "formula": "NbFe3Bi",
  "functional": "PBE-GGA",
  "state": "relaxed",
  "polymorph_energy_mev_per_atom": 0,
  "space_group": "Pm-3m",
  "lattice": [[4.6315, 0.0000, 0.0000], [0.0000, 4.6315, 0.0000], [0.0000, 0.0000, 4.6315]],
  "species": ["Fe", "Fe", "Fe", "Nb", "Bi"],
  "fractional_positions": [[0.5000, 0.0000, 0.0000], [0.0000, 0.5000, 0.0000], [0.0000, 0.0000, 0.5000], [0.0000, 0.0000, 0.0000], [0.5000, 0.5000, 0.5000]]
}

---

No. 3
{
  "formula": "NbFeBi2",
  "functional": "PBE-GGA",
  "state": "relaxed",
  "polymorph_energy_mev_per_atom": 235,
  "space_group": "I-42d",
  "lattice": [[7.6324, 0.0000, 0.0000], [0.0000, 7.6324, 0.0000], [3.8162, 3.8162, 3.0437]],
  "species": ["Fe", "Fe", "Nb", "Nb", "Bi", "Bi", "Bi", "Bi"],
  "fractional_positions": [[0.5000, 0.5000, 0.0000], [0.2500, 0.7500, 0.5000], [0.0000, 0.0000, 0.0000], [0.7500, 0.2500, 0.5000], [0.8750, 0.8273, 0.7500], [0.5773, 0.1250, 0.2500], [0.1727, 0.6250, 0.2500], [0.3750, 0.4227, 0.7500]]
}

---

No. 4
{
  "formula": "NbFe2Bi",
  "functional": "PBE-GGA",
  "state": "relaxed",
  "space_group": "I-42d",
  "lattice": [[-2.6258, 1.2510, 2.9351], [-3.1488, -0.4032, -2.6451], [-3.9931, -7.9975, 2.7451]],
  "species": ["Nb", "Nb", "Fe", "Fe", "Fe", "Fe", "Bi", "Bi"],
  "fractional_positions": [[0.2500, 0.7500, 0.5000], [0.5000, 0.5000, 0.0000], [0.3750, 0.4440, 0.7500], [0.8750, 0.8060, 0.7500], [0.1940, 0.6250, 0.2500], [0.5560, 0.1250, 0.2500], [0.0000, 0.0000, 0.0000], [0.7500, 0.2500, 0.5000]]
}

---

| no. | size of the total moment (Bohr magnetons per cell) | DFT formation energy (meV per atom) |
| --- | --- | --- |
| 1 | 0.003 | 674 |
| 2 | 5.073 | 1274 |
| 3 | 0.008 | 909 |
| 4 | 7.238 | 766 |